Computed, not measured: a geometry-optimized Li8Mn15NiO32 structure at the GGA+U level of DFT.

E_tot: -6.79 eV/atom

The structure in CIF format:
```
data_Li8Mn15NiO32
_space_group_name_H-M_alt 'R 3 2'
_space_group_IT_number 155
_space_group_name_Hall 'R 3 2"'
_cell_length_a 11.8869
_cell_length_b 11.8869
_cell_length_c 14.4534
_cell_angle_alpha 90.00
_cell_angle_beta 90.00
_cell_angle_gamma 120.00
loop_
_atom_site_label
_atom_site_fract_x
_atom_site_fract_y
_atom_site_fract_z
Li1 0.0000 0.0000 0.1219
Li2 0.0033 0.4992 0.1259
Mn1 0.0000 0.2592 0.0000
Mn2 0.0000 0.5034 0.5000
Mn3 0.0000 0.7482 0.0000
Mn4 0.0794 0.1634 0.6697
Ni1 0.0000 0.0000 0.5000
O1 0.0000 0.0000 0.2596
O2 0.0159 0.4933 0.2627
O3 0.0171 0.7608 0.7464
O4 0.0186 0.2492 0.7540
O5 0.0734 0.9220 0.4023
O6 0.0885 0.9005 0.9187
```